No. 1
Here is Ta2MnW after structural relaxation from Alexandria. Energies are from GGA-PBEsol.

Geometry as CIF:
```
data_Ta2MnW
_symmetry_space_group_name_H-M 'P 4/m m m'
_symmetry_Int_Tables_number 123
_symmetry_space_group_name_Hall '-P 4 2'
_cell_length_a 3.1247
_cell_length_b 3.1247
_cell_length_c 6.2675
_cell_angle_alpha 90.00
_cell_angle_beta 90.00
_cell_angle_gamma 90.00
loop_
_atom_site_label
_atom_site_fract_x
_atom_site_fract_y
_atom_site_fract_z
Ta1 0.0000 0.0000 0.2394
Mn1 0.5000 0.5000 0.0000
W1 0.5000 0.5000 0.5000
```

**Size of the total moment**: 0.00 Bohr magnetons per cell
**E_tot**: -12.288 eV per atom

No. 2
Here is Ni3PdF after structural relaxation from Alexandria. Energies are from GGA-PBEsol.

Geometry as CIF:
```
data_Ni3PdF
_symmetry_space_group_name_H-M 'P m -3 m'
_symmetry_Int_Tables_number 221
_symmetry_space_group_name_Hall '-P 4 2 3'
_cell_length_a 4.4944
_cell_length_b 4.4944
_cell_length_c 4.4944
_cell_angle_alpha 90.00
_cell_angle_beta 90.00
_cell_angle_gamma 90.00
loop_
_atom_site_label
_atom_site_fract_x
_atom_site_fract_y
_atom_site_fract_z
Ni1 0.0000 0.0000 0.5000
Pd1 0.0000 0.0000 0.0000
F1 0.5000 0.5000 0.5000
```

**Size of the total moment**: 3.40 Bohr magnetons per cell
**Formation energy (no corrections)**: 1.282 eV per atom
**E_tot**: -3.989 eV per atom

No. 3
Here is BiIrI3 after structural relaxation from Alexandria. Energies are from GGA-PBEsol.

Geometry as CIF:
```
data_BiIrI3
_symmetry_space_group_name_H-M 'P m -3 m'
_symmetry_Int_Tables_number 221
_symmetry_space_group_name_Hall '-P 4 2 3'
_cell_length_a 5.2930
_cell_length_b 5.2930
_cell_length_c 5.2930
_cell_angle_alpha 90.00
_cell_angle_beta 90.00
_cell_angle_gamma 90.00
loop_
_atom_site_label
_atom_site_fract_x
_atom_site_fract_y
_atom_site_fract_z
Bi1 0.0000 0.0000 0.0000
Ir1 0.5000 0.5000 0.5000
I1 0.0000 0.5000 0.5000
```

**Size of the total moment**: 0.00 Bohr magnetons per cell
**Formation energy (no corrections)**: 0.347 eV per atom
**E_tot**: -3.534 eV per atom

No. 4
Here is GdCu4Pd after structural relaxation from Alexandria. Energies are from GGA-PBEsol.

Geometry as CIF:
```
data_GdCu4Pd
_symmetry_space_group_name_H-M 'R 3 m'
_symmetry_Int_Tables_number 160
_symmetry_space_group_name_Hall 'R 3 -2"'
_cell_length_a 4.8864
_cell_length_b 4.8864
_cell_length_c 12.7946
_cell_angle_alpha 90.00
_cell_angle_beta 90.00
_cell_angle_gamma 120.00
loop_
_atom_site_label
_atom_site_fract_x
_atom_site_fract_y
_atom_site_fract_z
Gd1 0.0000 0.0000 0.0000
Cu1 0.0000 0.0000 0.2329
Cu2 0.0010 0.5005 0.1309
Pd1 0.0000 0.0000 0.6285
```

**Size of the total moment**: 21.53 Bohr magnetons per cell
**E_tot**: -6.578 eV per atom
**Excess energy over the best structure of this formula in the dataset**: 0.046 eV per atom

No. 5
Here is TaAl2Co2 after structural relaxation from Alexandria. Energies are from GGA-PBEsol.

Geometry as CIF:
```
data_TaAl2Co2
_symmetry_space_group_name_H-M 'P 4/m b m'
_symmetry_Int_Tables_number 127
_symmetry_space_group_name_Hall '-P 4 2ab'
_cell_length_a 6.8910
_cell_length_b 6.8910
_cell_length_c 2.7328
_cell_angle_alpha 90.00
_cell_angle_beta 90.00
_cell_angle_gamma 90.00
loop_
_atom_site_label
_atom_site_fract_x
_atom_site_fract_y
_atom_site_fract_z
Ta1 0.0000 0.0000 0.0000
Al1 0.1508 0.3492 0.5000
Co1 0.1436 0.6436 0.0000
```

**Size of the total moment**: 0.00 Bohr magnetons per cell
**E_tot**: -7.549 eV per atom

No. 6
Here is H2IrICl after structural relaxation from Alexandria. Energies are from GGA-PBEsol.

Geometry as CIF:
```
data_H2IrICl
_symmetry_space_group_name_H-M 'P 4/m m m'
_symmetry_Int_Tables_number 123
_symmetry_space_group_name_Hall '-P 4 2'
_cell_length_a 3.8356
_cell_length_b 3.8356
_cell_length_c 5.1546
_cell_angle_alpha 90.00
_cell_angle_beta 90.00
_cell_angle_gamma 90.00
loop_
_atom_site_label
_atom_site_fract_x
_atom_site_fract_y
_atom_site_fract_z
H1 0.0000 0.5000 0.0000
Ir1 0.0000 0.0000 0.0000
I1 0.0000 0.0000 0.5000
Cl1 0.5000 0.5000 0.5000
```

**Size of the total moment**: 0.00 Bohr magnetons per cell
**E_tot**: -3.493 eV per atom

No. 7
Here is AlAgAs3 after structural relaxation from Alexandria. Energies are from GGA-PBEsol.

Geometry as CIF:
```
data_AlAgAs3
_symmetry_space_group_name_H-M 'P m -3 m'
_symmetry_Int_Tables_number 221
_symmetry_space_group_name_Hall '-P 4 2 3'
_cell_length_a 4.7793
_cell_length_b 4.7793
_cell_length_c 4.7793
_cell_angle_alpha 90.00
_cell_angle_beta 90.00
_cell_angle_gamma 90.00
loop_
_atom_site_label
_atom_site_fract_x
_atom_site_fract_y
_atom_site_fract_z
Al1 0.0000 0.0000 0.0000
Ag1 0.5000 0.5000 0.5000
As1 0.0000 0.0000 0.5000
```

**Size of the total moment**: 0.00 Bohr magnetons per cell
**E_tot**: -3.864 eV per atom

No. 8
Here is LiZrS2 after structural relaxation from Alexandria. Energies are from GGA-PBEsol.

Geometry as CIF:
```
data_LiZrS2
_symmetry_space_group_name_H-M 'I -4 2 d'
_symmetry_Int_Tables_number 122
_symmetry_space_group_name_Hall 'I -4 2bw'
_cell_length_a 5.7314
_cell_length_b 5.7314
_cell_length_c 10.7065
_cell_angle_alpha 90.00
_cell_angle_beta 90.00
_cell_angle_gamma 90.00
loop_
_atom_site_label
_atom_site_fract_x
_atom_site_fract_y
_atom_site_fract_z
Li1 0.0000 0.0000 0.0000
Zr1 0.0000 0.0000 0.5000
S1 0.2426 0.2500 0.1250
```

**Size of the total moment**: 0.01 Bohr magnetons per cell
**Formation energy (no corrections)**: -1.217 eV per atom
**E_tot**: -6.174 eV per atom